1.
DFT (PBE) results for a relaxed Co2MoHW crystal.

Results
magnetic moment: 0.036 μB/cell
E: -8.23 eV/atom
crystal system: tetragonal

a = 3.715 Å, b = 3.715 Å, c = 3.939 Å
α = 90.00°, β = 90.00°, γ = 90.00°
Sites, in units of the cell vectors:
H (0.000, 0.000, 0.000)
Mo (0.000, 0.000, 0.500)
Co (0.000, 0.500, 0.000)
Co (0.500, 0.000, 0.000)
W (0.500, 0.500, 0.500)

=====

2.
DFT (PBE) results for a relaxed Co2MoHW crystal.

Results
magnetic moment: 0.072 μB/cell
E: -8.20 eV/atom
crystal system: tetragonal

a = 3.711 Å, b = 3.711 Å, c = 3.957 Å
α = 90.00°, β = 90.00°, γ = 90.00°
Sites, in units of the cell vectors:
H (0.000, 0.000, 0.000)
Mo (0.500, 0.500, 0.500)
Co (0.000, 0.500, 0.000)
Co (0.500, 0.000, 0.000)
W (0.000, 0.000, 0.500)